# 1
VASP calculation (PBE) on a relaxed AgTe3Ir crystal.

POSCAR file:
```
AgTe3Ir
1.0
5.2602 0.0000 0.0000
0.0000 5.2602 0.0000
0.0000 0.0000 5.2602
Te Ag Ir
3 1 1
direct
0.0000 0.0000 0.5000
0.5000 0.0000 0.0000
0.0000 0.5000 0.0000
0.0000 0.0000 0.0000
0.5000 0.5000 0.5000
```

Summary:
Formation energy without anion corrections (eV/f.u.): 7.16
Fermi-level density of states (states/eV/f.u.): 8.2
Relative energy among the computed polymorphs (kJ per mole of atoms): 79.6

# 2
VASP calculation (PBE) on a relaxed AgTeIr2 crystal.

POSCAR file:
```
AgTeIr2
1.0
-0.2940 0.7292 -3.5940
2.3989 -1.4676 -0.4940
-1.5631 -7.6467 -1.4236
Ir Te Ag
2 1 1
direct
0.0000 0.0895 0.0354
0.5000 0.4308 0.1940
0.0000 0.1524 0.4723
0.5000 0.8273 0.7983
```

Summary:
Formation energy without anion corrections (eV/f.u.): 1.29
Fermi-level density of states (states/eV/f.u.): 2.9

# 3
VASP calculation (PBE) on a relaxed AgTeIr4 crystal.

POSCAR file:
```
AgTeIr4
1.0
0.0000 3.7415 3.7415
3.7415 0.0000 3.7415
3.7415 3.7415 0.0000
Ir Ag Te
4 1 1
direct
0.3746 0.3746 0.3746
0.3746 0.8763 0.3746
0.8763 0.3746 0.3746
0.3746 0.3746 0.8763
0.0000 0.0000 0.0000
0.7500 0.7500 0.7500
```

Summary:
Formation energy without anion corrections (eV/f.u.): 3.27
Fermi-level density of states (states/eV/f.u.): 5.9

# 4
VASP calculation (PBE) on a relaxed AgTe2Ir crystal.

POSCAR file:
```
AgTe2Ir
1.0
5.0199 0.0000 0.0000
0.0000 5.0181 0.0000
0.0000 0.0000 3.3140
Ir Te Ag
1 2 1
direct
0.0000 0.5000 0.5000
0.5000 0.5000 0.0000
0.0000 0.0000 0.0000
0.5000 0.0000 0.5000
```

Summary:
Formation energy without anion corrections (eV/f.u.): 1.74
Fermi-level density of states (states/eV/f.u.): 2.4
Relative energy among the computed polymorphs (kJ per mole of atoms): 53.4

# 5
VASP calculation (PBE) on a relaxed AgTeIr2 crystal.

POSCAR file:
```
AgTeIr2
1.0
-0.5520 4.5910 -0.0372
-2.0035 2.0586 -3.6237
-4.2282 1.8239 0.4233
Ir Te Ag
2 1 1
direct
0.7500 0.7500 0.7500
0.0000 0.0000 0.0000
0.2500 0.2500 0.2500
0.5000 0.5000 0.5000
```

Summary:
Formation energy without anion corrections (eV/f.u.): 2.47
Fermi-level density of states (states/eV/f.u.): 4.5

# 6
VASP calculation (PBE) on a relaxed AgTe2Ir crystal.

POSCAR file:
```
AgTe2Ir
1.0
1.3035 -4.5296 1.3497
-0.0920 -1.2690 4.7349
-3.3910 -3.1436 1.6300
Ag Te Ir
1 2 1
direct
0.0000 0.0000 0.0000
0.7500 0.7500 0.7500
0.2500 0.2500 0.2500
0.5000 0.5000 0.5000
```

Summary:
Formation energy without anion corrections (eV/f.u.): 1.52
Fermi-level density of states (states/eV/f.u.): 1.6
Relative energy among the computed polymorphs (kJ per mole of atoms): 48.1

# 7
VASP calculation (PBE) on a relaxed AgTeIr2 crystal.

POSCAR file:
```
AgTeIr2
1.0
-0.3637 -1.8178 2.3301
4.8504 -0.8555 0.0897
0.5969 3.6964 2.9768
Te Ir Ag
1 2 1
direct
0.5000 0.0000 0.5000
0.0000 0.0000 0.0000
0.5000 0.5000 0.0000
0.0000 0.5000 0.5000
```

Summary:
Formation energy without anion corrections (eV/f.u.): 2.58
Fermi-level density of states (states/eV/f.u.): 4.4

# 8
VASP calculation (PBE) on a relaxed AgTeIr2 crystal.

POSCAR file:
```
AgTeIr2
1.0
2.9194 0.0000 0.0000
0.0000 3.8089 0.0000
0.0000 0.0000 6.7706
Ir Ag Te
2 1 1
direct
0.5000 0.5000 0.2309
0.0000 0.0000 0.0312
0.5000 0.5000 0.7969
0.0000 0.0000 0.4409
```

Summary:
Formation energy without anion corrections (eV/f.u.): 1.81
Fermi-level density of states (states/eV/f.u.): 3.7

no.,calculated volume (A^3/atom),magnetization (μB per atom)
1,29.1,0.0002
2,19.4,0.0000
3,17.5,0.0000
4,20.9,0.0000
5,17.5,0.0000
6,20.8,0.0000
7,17.5,0.0000
8,18.8,0.0000